Entry 1:
Entry from Alexandria via LeMat-Bulk: a geometry-optimized In2H2I structure (PBE-GGA).

- excess energy over the best structure of this formula in the dataset (meV/atom) = 0
- symmetry = P-1, No. 2
- calculated total energy (eV per atom) = -2.6621
- volume (Å³/atom) = 24.41

Geometry as POSCAR:
```
In2H2I
1.0
6.6997 1.7733 -1.7498
1.5848 5.6803 -1.0718
-1.4527 -0.3909 3.8432
In H I
2 2 1
Direct
0.4824 0.7410 0.8547
0.5176 0.2590 0.1453
0.3896 0.4327 0.6043
0.6104 0.5673 0.3957
0.0000 0.0000 0.0000
```

Entry 2:
Entry from Alexandria via LeMat-Bulk: a geometry-optimized Zr2GeP2 structure (PBE-GGA).

- excess energy over the best structure of this formula in the dataset (meV/atom) = 0
- symmetry = P4/mbm, No. 127
- calculated total energy (eV per atom) = -7.3063
- volume (Å³/atom) = 18.43

Geometry as POSCAR:
```
Zr2GeP2
1.0
7.2856 0.0000 0.0000
0.0000 7.2856 0.0000
0.0000 0.0000 3.4726
Zr P Ge
4 4 2
Direct
0.1574 0.3426 0.0000
0.8426 0.6574 0.0000
0.6574 0.1574 0.0000
0.3426 0.8426 0.0000
0.6381 0.8619 0.5000
0.3619 0.1381 0.5000
0.1381 0.6381 0.5000
0.8619 0.3619 0.5000
0.5000 0.5000 0.0000
0.0000 0.0000 0.0000
```

Entry 3:
Entry from Alexandria via LeMat-Bulk: a geometry-optimized Na3Np2TlSe6 structure (PBE-GGA).

- formation energy without anion corrections (meV/atom) = -1043
- symmetry = C2/m, No. 12
- calculated total energy (eV per atom) = -5.4689
- volume (Å³/atom) = 27.56

Geometry as POSCAR:
```
Na3Np2TlSe6
1.0
4.2144 0.0000 0.0000
0.0000 8.7137 0.5745
-2.1072 -2.2586 8.8558
Np Se Na Tl
2 6 3 1
Direct
0.8320 0.6627 0.6641
0.1680 0.3373 0.3359
0.9827 0.7245 0.9653
0.0173 0.2755 0.0347
0.6777 0.1230 0.3554
0.3223 0.8770 0.6446
0.3275 0.4328 0.6549
0.6725 0.5672 0.3451
0.1550 0.8406 0.3099
0.8450 0.1594 0.6901
0.5000 0.5000 0.0000
0.5000 0.0000 0.0000
```